[1]
{
  "formula": "MgBePtI2",
  "functional": "PBE-GGA",
  "state": "relaxed",
  "formation_energy_uncorrected_mev_per_atom": 167.9,
  "n_ef_per_ev_atom": 0.56,
  "cell": [[5.6616, 0.0000, 0.0000], [0.0000, 5.6616, 0.0000], [0.0000, 0.0000, 4.2671]],
  "species": ["Mg", "Be", "Pt", "I", "I"],
  "fractional_positions": [[0.0000, 0.0000, 0.0000], [0.5000, 0.5000, 0.0000], [0.5000, 0.5000, 0.5000], [0.0000, 0.5000, 0.5000], [0.5000, 0.0000, 0.5000]]
}

***

[2]
{
  "formula": "MgBe2PtI",
  "functional": "PBE-GGA",
  "state": "relaxed",
  "formation_energy_uncorrected_mev_per_atom": 289.6,
  "n_ef_per_ev_atom": 0.48,
  "cell": [[4.3286, 0.0000, 0.0000], [0.0000, 4.3286, 0.0000], [0.0000, 0.0000, 5.9419]],
  "species": ["Mg", "Be", "Be", "Pt", "I"],
  "fractional_positions": [[0.0000, 0.0000, 0.0000], [0.0000, 0.5000, 0.5000], [0.5000, 0.0000, 0.5000], [0.5000, 0.5000, 0.5000], [0.5000, 0.5000, 0.0000]]
}

***

[3]
{
  "formula": "MgBeSbI2",
  "functional": "PBE-GGA",
  "state": "relaxed",
  "formation_energy_uncorrected_mev_per_atom": 494.6,
  "n_ef_per_ev_atom": 0.84,
  "de_polymorph_mev_per_atom": 232,
  "cell": [[5.1706, 0.0000, 0.0000], [0.0000, 5.1706, 0.0000], [0.0000, 0.0000, 5.1689]],
  "species": ["Mg", "Be", "Sb", "I", "I"],
  "fractional_positions": [[0.0000, 0.0000, 0.0000], [0.0000, 0.0000, 0.5000], [0.5000, 0.5000, 0.0000], [0.0000, 0.5000, 0.5000], [0.5000, 0.0000, 0.5000]]
}

***

[4]
{
  "formula": "MgBeSbI2",
  "functional": "PBE-GGA",
  "state": "relaxed",
  "formation_energy_uncorrected_mev_per_atom": 263.1,
  "n_ef_per_ev_atom": 0.86,
  "de_polymorph_mev_per_atom": 0,
  "cell": [[5.2551, 0.0000, 0.0000], [0.0000, 5.2551, 0.0000], [0.0000, 0.0000, 5.1633]],
  "species": ["Mg", "Be", "Sb", "I", "I"],
  "fractional_positions": [[0.0000, 0.0000, 0.0000], [0.5000, 0.5000, 0.5000], [0.5000, 0.5000, 0.0000], [0.0000, 0.5000, 0.5000], [0.5000, 0.0000, 0.5000]]
}

***

[5]
{
  "formula": "MgBeSb2I",
  "functional": "PBE-GGA",
  "state": "relaxed",
  "formation_energy_uncorrected_mev_per_atom": 381.1,
  "n_ef_per_ev_atom": 0.85,
  "de_polymorph_mev_per_atom": 0,
  "cell": [[4.8615, 0.0000, 0.0000], [0.0000, 4.8615, 0.0000], [0.0000, 0.0000, 5.7454]],
  "species": ["Mg", "Be", "Sb", "Sb", "I"],
  "fractional_positions": [[0.0000, 0.0000, 0.0000], [0.5000, 0.5000, 0.5000], [0.0000, 0.5000, 0.5000], [0.5000, 0.0000, 0.5000], [0.5000, 0.5000, 0.0000]]
}

***

[6]
{
  "formula": "MgBeSb2I",
  "functional": "PBE-GGA",
  "state": "relaxed",
  "formation_energy_uncorrected_mev_per_atom": 924.7,
  "n_ef_per_ev_atom": 0.99,
  "de_polymorph_mev_per_atom": 544,
  "cell": [[5.4652, 0.0000, 0.0000], [0.0000, 5.4652, 0.0000], [0.0000, 0.0000, 5.5534]],
  "species": ["Mg", "Be", "Sb", "Sb", "I"],
  "fractional_positions": [[0.0000, 0.0000, 0.0000], [0.5000, 0.5000, 0.5000], [0.0000, 0.5000, 0.0000], [0.5000, 0.0000, 0.0000], [0.0000, 0.0000, 0.5000]]
}

***

[7]
{
  "formula": "MgBeSbI2",
  "functional": "PBE-GGA",
  "state": "relaxed",
  "formation_energy_uncorrected_mev_per_atom": 605.1,
  "n_ef_per_ev_atom": 0.63,
  "de_polymorph_mev_per_atom": 342,
  "cell": [[5.6430, 0.0000, 0.0000], [0.0000, 5.6430, 0.0000], [0.0000, 0.0000, 5.7132]],
  "species": ["Mg", "Be", "Sb", "I", "I"],
  "fractional_positions": [[0.0000, 0.0000, 0.0000], [0.5000, 0.5000, 0.5000], [0.0000, 0.0000, 0.5000], [0.0000, 0.5000, 0.0000], [0.5000, 0.0000, 0.0000]]
}

***

[8]
{
  "formula": "MgBeSb2I",
  "functional": "PBE-GGA",
  "state": "relaxed",
  "formation_energy_uncorrected_mev_per_atom": 825.0,
  "n_ef_per_ev_atom": 1.03,
  "de_polymorph_mev_per_atom": 444,
  "cell": [[5.5242, 0.0000, 0.0000], [0.0000, 5.5242, 0.0000], [0.0000, 0.0000, 4.8460]],
  "species": ["Mg", "Be", "Sb", "Sb", "I"],
  "fractional_positions": [[0.0000, 0.0000, 0.0000], [0.0000, 0.0000, 0.5000], [0.0000, 0.5000, 0.0000], [0.5000, 0.0000, 0.0000], [0.5000, 0.5000, 0.5000]]
}

***

[9]
{
  "formula": "Mg2ScBeI",
  "functional": "PBE-GGA",
  "state": "relaxed",
  "formation_energy_uncorrected_mev_per_atom": 913.8,
  "n_ef_per_ev_atom": 0.86,
  "cell": [[5.9653, 0.0000, 0.0000], [0.0000, 5.9653, 0.0000], [0.0000, 0.0000, 5.5156]],
  "species": ["Mg", "Mg", "Sc", "Be", "I"],
  "fractional_positions": [[0.0000, 0.5000, 0.0000], [0.5000, 0.0000, 0.0000], [0.0000, 0.0000, 0.0000], [0.5000, 0.5000, 0.5000], [0.0000, 0.0000, 0.5000]]
}

***

[10]
{
  "formula": "MgBe2SnI",
  "functional": "PBE-GGA",
  "state": "relaxed",
  "formation_energy_uncorrected_mev_per_atom": 1179.0,
  "n_ef_per_ev_atom": 0.91,
  "cell": [[4.8023, 0.0000, 0.0000], [0.0000, 4.8023, 0.0000], [0.0000, 0.0000, 5.5625]],
  "species": ["Mg", "Be", "Be", "Sn", "I"],
  "fractional_positions": [[0.0000, 0.0000, 0.0000], [0.0000, 0.5000, 0.5000], [0.5000, 0.0000, 0.5000], [0.5000, 0.5000, 0.0000], [0.0000, 0.0000, 0.5000]]
}

***

[11]
{
  "formula": "SrMgBeI2",
  "functional": "PBE-GGA",
  "state": "relaxed",
  "formation_energy_uncorrected_mev_per_atom": 74.6,
  "n_ef_per_ev_atom": 0.07,
  "cell": [[5.4199, 0.0000, 0.0000], [0.0000, 5.4199, 0.0000], [0.0000, 0.0000, 5.8212]],
  "species": ["Sr", "Mg", "Be", "I", "I"],
  "fractional_positions": [[0.0000, 0.0000, 0.0000], [0.5000, 0.5000, 0.0000], [0.0000, 0.0000, 0.5000], [0.0000, 0.5000, 0.5000], [0.5000, 0.0000, 0.5000]]
}

***

[12]
{
  "formula": "MgBeTeI2",
  "functional": "PBE-GGA",
  "state": "relaxed",
  "formation_energy_uncorrected_mev_per_atom": 74.4,
  "n_ef_per_ev_atom": 0.52,
  "de_polymorph_mev_per_atom": 0,
  "cell": [[5.1987, 0.0000, 0.0000], [0.0000, 5.1987, 0.0000], [0.0000, 0.0000, 5.3478]],
  "species": ["Mg", "Be", "Te", "I", "I"],
  "fractional_positions": [[0.0000, 0.0000, 0.0000], [0.5000, 0.5000, 0.5000], [0.5000, 0.5000, 0.0000], [0.0000, 0.5000, 0.5000], [0.5000, 0.0000, 0.5000]]
}

***

[13]
{
  "formula": "MgBeTe2I",
  "functional": "PBE-GGA",
  "state": "relaxed",
  "formation_energy_uncorrected_mev_per_atom": 157.3,
  "n_ef_per_ev_atom": 0.59,
  "de_polymorph_mev_per_atom": 0,
  "cell": [[4.8372, 0.0000, 0.0000], [0.0000, 4.8372, 0.0000], [0.0000, 0.0000, 6.2103]],
  "species": ["Mg", "Be", "Te", "Te", "I"],
  "fractional_positions": [[0.0000, 0.0000, 0.0000], [0.5000, 0.5000, 0.5000], [0.0000, 0.5000, 0.5000], [0.5000, 0.0000, 0.5000], [0.5000, 0.5000, 0.0000]]
}

***

[14]
{
  "formula": "MgBeTe2I",
  "functional": "PBE-GGA",
  "state": "relaxed",
  "formation_energy_uncorrected_mev_per_atom": 638.1,
  "n_ef_per_ev_atom": 1.26,
  "de_polymorph_mev_per_atom": 481,
  "cell": [[5.5420, 0.0000, 0.0000], [0.0000, 5.5420, 0.0000], [0.0000, 0.0000, 5.5224]],
  "species": ["Mg", "Be", "Te", "Te", "I"],
  "fractional_positions": [[0.0000, 0.0000, 0.0000], [0.5000, 0.5000, 0.5000], [0.0000, 0.5000, 0.0000], [0.5000, 0.0000, 0.0000], [0.0000, 0.0000, 0.5000]]
}

***

[15]
{
  "formula": "MgBeTeI2",
  "functional": "PBE-GGA",
  "state": "relaxed",
  "formation_energy_uncorrected_mev_per_atom": 430.7,
  "n_ef_per_ev_atom": 0.97,
  "de_polymorph_mev_per_atom": 356,
  "cell": [[5.5810, 0.0000, 0.0000], [0.0000, 5.5810, 0.0000], [0.0000, 0.0000, 5.7361]],
  "species": ["Mg", "Be", "Te", "I", "I"],
  "fractional_positions": [[0.0000, 0.0000, 0.0000], [0.5000, 0.5000, 0.5000], [0.0000, 0.0000, 0.5000], [0.0000, 0.5000, 0.0000], [0.5000, 0.0000, 0.0000]]
}

***

[16]
{
  "formula": "MgBeTl2I",
  "functional": "PBE-GGA",
  "state": "relaxed",
  "formation_energy_uncorrected_mev_per_atom": 57.7,
  "n_ef_per_ev_atom": 0.25,
  "cell": [[5.1278, 0.0000, 0.0000], [0.0000, 5.1278, 0.0000], [0.0000, 0.0000, 5.2728]],
  "species": ["Mg", "Be", "Tl", "Tl", "I"],
  "fractional_positions": [[0.0000, 0.0000, 0.0000], [0.0000, 0.0000, 0.5000], [0.0000, 0.5000, 0.5000], [0.5000, 0.0000, 0.5000], [0.5000, 0.5000, 0.0000]]
}

***

[17]
{
  "formula": "MgBeZn2I",
  "functional": "PBE-GGA",
  "state": "relaxed",
  "formation_energy_uncorrected_mev_per_atom": 303.1,
  "n_ef_per_ev_atom": 0.47,
  "cell": [[4.4417, 0.0000, 0.0000], [0.0000, 4.4417, 0.0000], [0.0000, 0.0000, 6.1120]],
  "species": ["Mg", "Be", "Zn", "Zn", "I"],
  "fractional_positions": [[0.0000, 0.0000, 0.0000], [0.5000, 0.5000, 0.5000], [0.0000, 0.5000, 0.5000], [0.5000, 0.0000, 0.5000], [0.5000, 0.5000, 0.0000]]
}

***

[18]
{
  "formula": "MgZrBeI2",
  "functional": "PBE-GGA",
  "state": "relaxed",
  "formation_energy_uncorrected_mev_per_atom": 604.0,
  "n_ef_per_ev_atom": 0.64,
  "cell": [[5.6585, 0.0000, 0.0000], [0.0000, 5.6585, 0.0000], [0.0000, 0.0000, 6.0541]],
  "species": ["Mg", "Zr", "Be", "I", "I"],
  "fractional_positions": [[0.0000, 0.0000, 0.0000], [0.0000, 0.0000, 0.5000], [0.5000, 0.5000, 0.0000], [0.0000, 0.5000, 0.5000], [0.5000, 0.0000, 0.5000]]
}

***

[19]
{
  "formula": "MnBe2I6",
  "functional": "PBE-GGA",
  "state": "relaxed",
  "formation_energy_uncorrected_mev_per_atom": -334.9,
  "cell": [[9.8112, -1.9245, 0.0000], [9.8112, 1.9245, 0.0000], [-2.7629, 0.0000, 8.6135]],
  "species": ["Mn", "Be", "Be", "I", "I", "I", "I", "I", "I"],
  "fractional_positions": [[0.0000, 0.0000, 0.0000], [0.2978, 0.2978, 0.6664], [0.7022, 0.7022, 0.3336], [0.1710, 0.1710, 0.5434], [0.1727, 0.1727, 0.1424], [0.4882, 0.4882, 0.2136], [0.5118, 0.5118, 0.7864], [0.8273, 0.8273, 0.8576], [0.8290, 0.8290, 0.4566]]
}

***

[20]
{
  "formula": "Mn2BeI",
  "functional": "PBE-GGA",
  "state": "relaxed",
  "formation_energy_uncorrected_mev_per_atom": 894.2,
  "n_ef_per_ev_atom": 0.88,
  "cell": [[3.8089, 0.0000, 0.0000], [0.0000, 3.8089, 0.0000], [0.0000, 0.0000, 17.5714]],
  "species": ["Mn", "Mn", "Mn", "Mn", "Mn", "Mn", "Mn", "Mn", "Be", "Be", "Be", "Be", "I", "I", "I", "I"],
  "fractional_positions": [[0.2269, 0.2500, 0.1250], [0.2500, 0.7269, 0.3750], [0.2500, 0.7731, 0.8750], [0.2731, 0.2500, 0.6250], [0.7269, 0.7500, 0.6250], [0.7500, 0.2269, 0.8750], [0.7500, 0.2731, 0.3750], [0.7731, 0.7500, 0.1250], [0.0000, 0.0000, 0.0000], [0.0000, 0.5000, 0.2500], [0.5000, 0.0000, 0.7500], [0.5000, 0.5000, 0.5000], [0.0000, 0.0000, 0.5000], [0.0000, 0.5000, 0.7500], [0.5000, 0.0000, 0.2500], [0.5000, 0.5000, 0.0000]]
}

***

[21]
{
  "formula": "MnBeI3",
  "functional": "PBE-GGA",
  "state": "relaxed",
  "formation_energy_uncorrected_mev_per_atom": 333.4,
  "n_ef_per_ev_atom": 0.24,
  "de_polymorph_mev_per_atom": 0,
  "cell": [[5.3164, 0.0000, 0.0000], [0.0000, 5.3164, 0.0000], [0.0000, 0.0000, 5.3164]],
  "species": ["Mn", "Be", "I", "I", "I"],
  "fractional_positions": [[0.0000, 0.0000, 0.0000], [0.5000, 0.5000, 0.5000], [0.0000, 0.5000, 0.5000], [0.5000, 0.0000, 0.5000], [0.5000, 0.5000, 0.0000]]
}

***

[22]
{
  "formula": "Mn3BeI",
  "functional": "PBE-GGA",
  "state": "relaxed",
  "formation_energy_uncorrected_mev_per_atom": 1738.9,
  "n_ef_per_ev_atom": 1.12,
  "de_polymorph_mev_per_atom": 1043,
  "cell": [[4.7699, 0.0000, 0.0000], [0.0000, 4.7699, 0.0000], [0.0000, 0.0000, 4.7699]],
  "species": ["Mn", "Mn", "Mn", "Be", "I"],
  "fractional_positions": [[0.0000, 0.0000, 0.5000], [0.0000, 0.5000, 0.0000], [0.5000, 0.0000, 0.0000], [0.5000, 0.5000, 0.5000], [0.0000, 0.0000, 0.0000]]
}

***

[23]
{
  "formula": "MnBe2I",
  "functional": "PBE-GGA",
  "state": "relaxed",
  "formation_energy_uncorrected_mev_per_atom": 974.4,
  "n_ef_per_ev_atom": 0.68,
  "de_polymorph_mev_per_atom": 0,
  "cell": [[6.9704, 0.0000, 0.0000], [0.0000, 6.9704, 0.0000], [0.0000, 0.0000, 5.4545]],
  "species": ["Mn", "Mn", "Mn", "Mn", "Be", "Be", "Be", "Be", "Be", "Be", "Be", "Be", "I", "I", "I", "I"],
  "fractional_positions": [[0.0000, 0.0000, 0.0000], [0.0000, 0.5000, 0.2500], [0.5000, 0.0000, 0.7500], [0.5000, 0.5000, 0.5000], [0.2413, 0.2500, 0.1250], [0.2500, 0.7413, 0.3750], [0.2500, 0.7587, 0.8750], [0.2587, 0.2500, 0.6250], [0.7413, 0.7500, 0.6250], [0.7500, 0.2413, 0.8750], [0.7500, 0.2587, 0.3750], [0.7587, 0.7500, 0.1250], [0.0000, 0.0000, 0.5000], [0.0000, 0.5000, 0.7500], [0.5000, 0.0000, 0.2500], [0.5000, 0.5000, 0.0000]]
}

***

[24]
{
  "formula": "MnBeI6",
  "functional": "PBE-GGA",
  "state": "relaxed",
  "formation_energy_uncorrected_mev_per_atom": -188.6,
  "n_ef_per_ev_atom": 0.39,
  "cell": [[7.2567, 0.0000, 0.0000], [0.0000, 13.1389, 0.0000], [-3.2723, 0.0000, 6.4798]],
  "species": ["Mn", "Mn", "Be", "Be", "I", "I", "I", "I", "I", "I", "I", "I", "I", "I", "I", "I"],
  "fractional_positions": [[0.0000, 0.0000, 0.0000], [0.5000, 0.5000, 0.0000], [0.0000, 0.5000, 0.5000], [0.5000, 0.0000, 0.5000], [0.2147, 0.0000, 0.7848], [0.2282, 0.3608, 0.7292], [0.2282, 0.6392, 0.7292], [0.2718, 0.1392, 0.2708], [0.2718, 0.8608, 0.2708], [0.2853, 0.5000, 0.2152], [0.7147, 0.5000, 0.7848], [0.7282, 0.1392, 0.7292], [0.7282, 0.8608, 0.7292], [0.7718, 0.3608, 0.2708], [0.7718, 0.6392, 0.2708], [0.7853, 0.0000, 0.2152]]
}

***

[25]
{
  "formula": "Mn2BeI2",
  "functional": "PBE-GGA",
  "state": "relaxed",
  "formation_energy_uncorrected_mev_per_atom": 1232.2,
  "n_ef_per_ev_atom": 1.15,
  "de_polymorph_mev_per_atom": 435,
  "cell": [[7.3582, 0.0000, 0.0000], [0.0000, 7.3582, 0.0000], [0.0000, 0.0000, 4.5511]],
  "species": ["Mn", "Mn", "Mn", "Mn", "Be", "Be", "I", "I", "I", "I"],
  "fractional_positions": [[0.0900, 0.4100, 0.0000], [0.4100, 0.9100, 0.0000], [0.5900, 0.0900, 0.0000], [0.9100, 0.5900, 0.0000], [0.0000, 0.0000, 0.5000], [0.5000, 0.5000, 0.5000], [0.2027, 0.2973, 0.5000], [0.2973, 0.7973, 0.5000], [0.7027, 0.2027, 0.5000], [0.7973, 0.7027, 0.5000]]
}

***

[26]
{
  "formula": "MnBe3I",
  "functional": "PBE-GGA",
  "state": "relaxed",
  "formation_energy_uncorrected_mev_per_atom": 1204.5,
  "n_ef_per_ev_atom": 0.72,
  "de_polymorph_mev_per_atom": 0,
  "cell": [[4.3880, 0.0000, 0.0000], [0.0000, 4.3880, 0.0000], [0.0000, 0.0000, 4.3880]],
  "species": ["Mn", "Be", "Be", "Be", "I"],
  "fractional_positions": [[0.0000, 0.0000, 0.0000], [0.0000, 0.0000, 0.5000], [0.0000, 0.5000, 0.0000], [0.5000, 0.0000, 0.0000], [0.5000, 0.5000, 0.5000]]
}

***

[27]
{
  "formula": "MnBe3I",
  "functional": "PBE-GGA",
  "state": "relaxed",
  "formation_energy_uncorrected_mev_per_atom": 1890.2,
  "n_ef_per_ev_atom": 0.64,
  "de_polymorph_mev_per_atom": 686,
  "cell": [[4.7252, 0.0000, 0.0000], [0.0000, 4.7252, 0.0000], [0.0000, 0.0000, 4.7252]],
  "species": ["Mn", "Be", "Be", "Be", "I"],
  "fractional_positions": [[0.0000, 0.0000, 0.0000], [0.0000, 0.5000, 0.5000], [0.5000, 0.0000, 0.5000], [0.5000, 0.5000, 0.0000], [0.5000, 0.5000, 0.5000]]
}

***

[28]
{
  "formula": "MnBe2I",
  "functional": "PBE-GGA",
  "state": "relaxed",
  "formation_energy_uncorrected_mev_per_atom": 1213.9,
  "n_ef_per_ev_atom": 0.76,
  "de_polymorph_mev_per_atom": 239,
  "cell": [[6.2090, 0.0000, 0.0000], [0.0000, 6.2090, 0.0000], [0.0000, 0.0000, 6.2090]],
  "species": ["Mn", "Mn", "Mn", "Mn", "Be", "Be", "Be", "Be", "Be", "Be", "Be", "Be", "I", "I", "I", "I"],
  "fractional_positions": [[0.0000, 0.0000, 0.0000], [0.0000, 0.5000, 0.5000], [0.5000, 0.0000, 0.5000], [0.5000, 0.5000, 0.0000], [0.2500, 0.2500, 0.2500], [0.2500, 0.2500, 0.7500], [0.2500, 0.7500, 0.2500], [0.2500, 0.7500, 0.7500], [0.7500, 0.2500, 0.2500], [0.7500, 0.2500, 0.7500], [0.7500, 0.7500, 0.2500], [0.7500, 0.7500, 0.7500], [0.0000, 0.0000, 0.5000], [0.0000, 0.5000, 0.0000], [0.5000, 0.0000, 0.0000], [0.5000, 0.5000, 0.5000]]
}